Compound: SnPb4Au
Source: Alexandria
Functional: PBE-GGA
Structure: optimized geometry

Values from the calculation:
The calculation puts the formation energy from the elements at 2 kJ/mol of formula units. For the calculated density, the calculation gives 10.8 g cm⁻³. The space group is No. 15. For the energy relative to the lowest polymorph listed for this composition, the calculation gives 7 meV/atom.

a b c (Å): 8.2141 8.2141 5.9223
angles (deg): 100.41 100.41 111.40
Closest atoms and distances in Å follow each position.
Fractional positions:
Sn: 0.1205 0.8795 0.7500  10 Pb 3.27-3.53
Sn: 0.8795 0.1205 0.2500  10 Pb 3.27-3.53
Pb: 0.1276 0.2870 0.8514  2 Au 3.10-3.22, 1 Sn 3.27
Pb: 0.1984 0.5603 0.4184  2 Au 2.99-3.14, 1 Sn 3.31
Pb: 0.2870 0.1276 0.3514  2 Au 3.10-3.22, 1 Sn 3.27
Pb: 0.4397 0.8016 0.0816  2 Au 2.99-3.14, 1 Sn 3.31
Pb: 0.5603 0.1984 0.9184  2 Au 2.99-3.14, 1 Sn 3.31
Pb: 0.7130 0.8724 0.6486  2 Au 3.10-3.22, 1 Sn 3.27
Pb: 0.8016 0.4397 0.5816  2 Au 2.99-3.14, 1 Sn 3.31
Pb: 0.8724 0.7130 0.1486  2 Au 3.10-3.22, 1 Sn 3.27
Au: 0.4874 0.5126 0.7500  2 Au 2.98, 8 Pb 2.99-3.22
Au: 0.5126 0.4874 0.2500  2 Au 2.98, 8 Pb 2.99-3.22